[1]
# PmPu2O8

Crystalline PmPu2O8 at its relaxed geometry (PBE, Alexandria).

abc: 4.6157 7.2933 6.2876
angles: 125.45 86.59 90.00
Closest atoms and distances in Å follow each position.
Fractional coordinates of all 11 atoms:
O (0.2632, 0.1818, 0.3637)  1 Pu 1.94
O (0.7612, 0.4274, 0.8547)  1 Pu 2.05
O (0.7501, 0.8801, 0.2436)  1 Pu 1.89
O (0.7368, 0.8182, 0.6363)  1 Pu 1.94
O (0.2500, 0.6365, 0.7565)  1 Pu 1.89
O (0.2499, 0.1199, 0.7564)  1 Pu 1.89
O (0.7500, 0.3635, 0.2435)  1 Pu 1.89
O (0.2388, 0.5726, 0.1453)  1 Pu 2.05
Pm (0.0000, 0.0000, 0.0000)  6 O 2.30-2.41
Pu (0.7378, 0.6284, 0.2568)  4 O 1.89-2.05
Pu (0.2622, 0.3716, 0.7431)  4 O 1.89-2.05

Computed properties:
Formation energy without anion corrections, eV/f.u.: -28.0
Space-group type: No. 12
Total energy, eV/atom: -9.193

[2]
# Pm3PuO7

Crystalline Pm3PuO7 at its relaxed geometry (PBE, Alexandria).

abc: 6.7278 6.7278 7.8750
angles: 90.00 90.00 109.85
Closest atoms and distances in Å follow each position.
Fractional coordinates of all 22 atoms:
O (0.3295, 0.0817, 0.0287)  1 Pu 2.11
O (0.9183, 0.6705, 0.0288)  1 Pu 2.11
O (0.6312, 0.3688, 0.7500)  4 Pm 2.36-2.44
O (0.6337, 0.3663, 0.2500)  4 Pm 2.31-2.46
O (0.6705, 0.9183, 0.9712)  1 Pu 2.11
O (0.3688, 0.6312, 0.2500)  4 Pm 2.36-2.44
O (0.3663, 0.6337, 0.7500)  4 Pm 2.31-2.46
O (0.0817, 0.3295, 0.9713)  1 Pu 2.11
O (0.3295, 0.0817, 0.4712)  1 Pu 2.11
O (0.9142, 0.0858, 0.2500)  2 Pu 2.18, 2 Pm 2.43
O (0.6705, 0.9183, 0.5287)  1 Pu 2.11
O (0.0817, 0.3295, 0.5288)  1 Pu 2.11
O (0.9183, 0.6705, 0.4713)  1 Pu 2.11
O (0.0858, 0.9142, 0.7500)  2 Pu 2.18, 2 Pm 2.43
Pm (0.5001, 0.5001, 0.0000)  8 O 2.44-2.66
Pm (0.0019, 0.5337, 0.7500)  7 O 2.31-2.52
Pm (0.4663, 0.9981, 0.7500)  7 O 2.31-2.52
Pm (0.5337, 0.0019, 0.2500)  7 O 2.31-2.52
Pm (0.9981, 0.4663, 0.2500)  7 O 2.31-2.52
Pm (0.4999, 0.4999, 0.5000)  8 O 2.44-2.66
Pu (0.0000, 0.0000, 0.0000)  6 O 2.11-2.18
Pu (0.0000, 0.0000, 0.5000)  6 O 2.11-2.18

Computed properties:
Formation energy without anion corrections, eV/f.u.: -36.1
Space-group type: No. 63
Total energy, eV/atom: -9.034

[3]
# PmPuO

Crystalline PmPuO at its relaxed geometry (PBE, Alexandria).

abc: 3.5908 3.5908 5.8894
angles: 90.00 90.00 120.00
Closest atoms and distances in Å follow each position.
Fractional coordinates of all 3 atoms:
Pu (0.0000, 0.0000, 0.8912)  3 O 2.39
Pm (0.6667, 0.3333, 0.4200)  3 O 2.61
O (0.3333, 0.6667, 0.6888)  3 Pu 2.39, 3 Pm 2.61

Computed properties:
Energy above the lowest structure with this stoichiometry, meV/atom: 0
Formation energy without anion corrections, eV/f.u.: -4.6
Space-group type: No. 156
Total energy, eV/atom: -9.533

[4]
# Pm4PuO10

Crystalline Pm4PuO10 at its relaxed geometry (PBE, Alexandria).

abc: 5.5181 6.6925 6.6925
angles: 80.21 65.65 65.65
Closest atoms and distances in Å follow each position.
Fractional coordinates of all 15 atoms:
O (0.4093, 0.9140, 0.7226)  1 Pu 2.17
O (0.2500, 0.5000, 0.5000)  4 Pm 2.33
O (0.1319, 0.2774, 0.9140)  1 Pu 2.17
O (0.7500, 0.5000, 0.5000)  4 Pm 2.33
O (0.6766, 0.2774, 0.9140)  1 Pu 2.17
O (0.9540, 0.9140, 0.7226)  1 Pu 2.17
O (0.8681, 0.7226, 0.0860)  1 Pu 2.17
O (0.5907, 0.0860, 0.2774)  1 Pu 2.17
O (0.0460, 0.0860, 0.2774)  1 Pu 2.17
O (0.3234, 0.7226, 0.0860)  1 Pu 2.17
Pu (0.0000, 0.0000, 0.0000)  8 O 2.17
Pm (0.8046, 0.5980, 0.7928)  8 O 2.33-2.48
Pm (0.5974, 0.2072, 0.5980)  8 O 2.33-2.48
Pm (0.4026, 0.7928, 0.4020)  8 O 2.33-2.48
Pm (0.1954, 0.4020, 0.2072)  8 O 2.33-2.48

Computed properties:
Formation energy without anion corrections, eV/f.u.: -44.1
Space-group type: No. 87
Total energy, eV/atom: -8.469

[5]
# Pm3PuO8

Crystalline Pm3PuO8 at its relaxed geometry (PBE, Alexandria).

abc: 6.2323 6.2323 6.9342
angles: 90.00 90.00 121.61
Closest atoms and distances in Å follow each position.
Fractional coordinates of all 12 atoms:
O (0.6822, 0.3178, 0.5000)  1 Pu 1.98
O (0.3178, 0.6822, 0.5000)  1 Pu 1.98
O (0.2888, 0.7112, 0.0000)  3 Pm 2.26-2.30
O (0.3066, 0.2534, 0.7205)  1 Pu 2.05
O (0.2534, 0.3066, 0.2795)  1 Pu 2.05
O (0.7112, 0.2888, 0.0000)  3 Pm 2.26-2.30
O (0.7466, 0.6934, 0.2795)  1 Pu 2.05
O (0.6934, 0.7466, 0.7205)  1 Pu 2.05
Pm (0.0000, 0.5000, 0.2329)  6 O 2.26-2.51
Pm (0.5000, 0.0000, 0.7671)  6 O 2.26-2.51
Pm (0.5000, 0.5000, 0.0000)  6 O 2.30-2.37
Pu (0.5000, 0.5000, 0.5000)  6 O 1.98-2.05

Computed properties:
Formation energy without anion corrections, eV/f.u.: -34.6
Space-group type: No. 21
Total energy, eV/atom: -8.570

[6]
# PmPuO6

Crystalline PmPuO6 at its relaxed geometry (PBE, Alexandria).

abc: 6.0532 6.0576 6.0596
angles: 60.03 60.01 60.00
Closest atoms and distances in Å follow each position.
Fractional coordinates of all 8 atoms:
O (0.7720, 0.2245, 0.7720)  1 Pu 1.95
O (0.7760, 0.7681, 0.2272)  1 Pu 1.95
O (0.2322, 0.7726, 0.7715)  1 Pu 1.95
O (0.7678, 0.2274, 0.2285)  1 Pu 1.95
O (0.2280, 0.7755, 0.2280)  1 Pu 1.95
O (0.2240, 0.2319, 0.7728)  1 Pu 1.95
Pu (0.0000, 0.0000, 0.0000)  6 O 1.95
Pm (0.5000, 0.5000, 0.5000)  6 O 2.33

Computed properties:
Formation energy without anion corrections, eV/f.u.: -17.0
Space-group type: No. 148
Total energy, eV/atom: -8.224

[7]
# Pm3PuO

Crystalline Pm3PuO at its relaxed geometry (PBE, Alexandria).

abc: 5.0245 5.0245 5.0245
angles: 90.00 90.00 90.00
Closest atoms and distances in Å follow each position.
Fractional coordinates of all 5 atoms:
O (0.0000, 0.0000, 0.0000)  6 Pm 2.51
Pm (0.5000, 0.0000, 0.0000)  2 O 2.51
Pm (0.0000, 0.5000, 0.0000)  2 O 2.51
Pm (0.0000, 0.0000, 0.5000)  2 O 2.51
Pu (0.5000, 0.5000, 0.5000)  12 Pm 3.55

Computed properties:
Formation energy without anion corrections, eV/f.u.: -4.8
Space-group type: No. 221
Total energy, eV/atom: -7.665

[8]
# PmPu3O

Crystalline PmPu3O at its relaxed geometry (PBE, Alexandria).

abc: 4.9447 4.9447 4.9447
angles: 90.00 90.00 90.00
Closest atoms and distances in Å follow each position.
Fractional coordinates of all 5 atoms:
O (0.0000, 0.0000, 0.0000)  6 Pu 2.47
Pu (0.0000, 0.0000, 0.5000)  2 O 2.47
Pu (0.5000, 0.0000, 0.0000)  2 O 2.47
Pu (0.0000, 0.5000, 0.0000)  2 O 2.47
Pm (0.5000, 0.5000, 0.5000)  12 Pu 3.50

Computed properties:
Formation energy without anion corrections, eV/f.u.: -3.9
Space-group type: No. 221
Total energy, eV/atom: -11.320

[9]
# PmPuO2

Crystalline PmPuO2 at its relaxed geometry (PBE, Alexandria).

abc: 3.6992 3.6992 6.9853
angles: 74.65 74.65 60.00
Closest atoms and distances in Å follow each position.
Fractional coordinates of all 4 atoms:
Pm (0.0000, 0.0000, 0.0000)  2 O 2.30
Pu (0.5000, 0.5000, 0.5000)  6 O 2.37
O (0.8849, 0.8849, 0.3454)  1 Pm 2.30, 3 Pu 2.37
O (0.1151, 0.1151, 0.6546)  1 Pm 2.30, 3 Pu 2.37

Computed properties:
Energy above the lowest structure with this stoichiometry, meV/atom: 0
Formation energy without anion corrections, eV/f.u.: -10.1
Space-group type: No. 166
Total energy, eV/atom: -9.784

[10]
# Pm2PuO8

Crystalline Pm2PuO8 at its relaxed geometry (PBE, Alexandria).

abc: 4.1663 5.6353 6.8128
angles: 112.03 107.80 90.00
Closest atoms and distances in Å follow each position.
Fractional coordinates of all 11 atoms:
Pm (0.1550, 0.6699, 0.3099)  8 O 2.33-2.57
Pm (0.8450, 0.3301, 0.6901)  8 O 2.33-2.57
O (0.3557, 0.0152, 0.7113)  1 Pu 1.91
O (0.0048, 0.2296, 0.0096)  2 Pm 2.35-2.48, 2 Pu 2.44, 3 O 2.54-2.61
O (0.7416, 0.6357, 0.4832)  1 O 1.48
O (0.2584, 0.3643, 0.5168)  1 O 1.48
O (0.6204, 0.4689, 0.2408)  1 O 1.48
O (0.9952, 0.7704, 0.9904)  2 Pm 2.35-2.48, 2 Pu 2.44, 3 O 2.54-2.61
O (0.6443, 0.9848, 0.2887)  1 Pu 1.91
O (0.3796, 0.5311, 0.7592)  1 O 1.48
Pu (0.5000, 0.0000, 0.0000)  2 O 1.91

Computed properties:
Formation energy without anion corrections, eV/f.u.: -25.9
Space-group type: No. 12
Total energy, eV/atom: -8.126